PBE U2In8Cu, optimized geometry; magnetic moment = 5.4 μB per formula unit; symmetry = No. 123; uncorrected energy = -48.55 eV per cell
1.0
4.686 0.000 0.000
0.000 4.686 0.000
0.000 0.000 12.159
In U Cu
8 2 1
Cartesian
2.343 0.000 6.080
2.343 2.343 3.769
0.000 2.343 1.526
0.000 2.343 6.080
0.000 2.343 10.633
2.343 2.343 8.390
2.343 0.000 10.633
2.343 0.000 1.526
0.000 0.000 3.760
0.000 0.000 8.400
0.000 0.000 0.000